Entry 1:
La2Pr5Er2 | PBE | optimized geometry

Structure (CIF):
```
data_La2Pr5Er2
_chemical_formula_sum 'La2 Pr5 Er2'
_cell_length_a 3.690
_cell_length_b 5.174
_cell_length_c 16.868
_cell_angle_alpha 98.77
_cell_angle_beta 96.17
_cell_angle_gamma 90.02
_symmetry_space_group_name_H-M 'P -1'
_symmetry_Int_Tables_number 2
loop_
_symmetry_equiv_pos_as_xyz
'x,y,z'
'-x,-y,-z'
loop_
_atom_site_label
_atom_site_fract_x
_atom_site_fract_y
_atom_site_fract_z
La1 0.165 0.164 0.329
Pr1 0.057 0.056 0.113
Pr2 0.279 0.279 0.557
Pr3 0.500 0.500 0.000
Er1 0.389 0.390 0.779
```

Output
Energy above the most stable polymorph in this dataset in eV per atom: 0.0000
Formation enthalpy at 0 K in eV per atom: 0.02
Size of the total moment in μB per formula unit: 0.00
Crystal system: triclinic

---

Entry 2:
CaScIn2Fe | PBE | optimized geometry

Structure (CIF):
```
data_CaScIn2Fe
_chemical_formula_sum 'Ca1 Sc1 In2 Fe1'
_cell_length_a 5.530
_cell_length_b 5.530
_cell_length_c 5.249
_cell_angle_alpha 90.00
_cell_angle_beta 90.00
_cell_angle_gamma 90.00
_symmetry_space_group_name_H-M 'P 4/m m m'
_symmetry_Int_Tables_number 123
_symmetry_space_group_name_Hall '-P 4 2'
loop_
_atom_site_label
_atom_site_fract_x
_atom_site_fract_y
_atom_site_fract_z
Ca1 0.000 0.000 0.000
Sc1 0.000 0.000 0.500
In1 0.000 0.500 0.000
Fe1 0.500 0.500 0.500
```

Output
Formation enthalpy at 0 K in eV per atom: 1.73
Size of the total moment in μB per formula unit: 0.78
Crystal system: tetragonal

---

Entry 3:
TcRh2 | PBE | optimized geometry

Structure (CIF):
```
data_TcRh2
_chemical_formula_sum 'Tc2 Rh4'
_cell_length_a 2.714
_cell_length_b 3.843
_cell_length_c 8.181
_cell_angle_alpha 90.00
_cell_angle_beta 90.00
_cell_angle_gamma 90.00
_symmetry_space_group_name_H-M 'I m m m'
_symmetry_Int_Tables_number 71
_symmetry_space_group_name_Hall '-I 2 2'
loop_
_atom_site_label
_atom_site_fract_x
_atom_site_fract_y
_atom_site_fract_z
Tc1 0.000 0.000 0.000
Rh1 0.000 0.000 0.336
```

Output
Energy above the most stable polymorph in this dataset in eV per atom: 0.0482
Formation enthalpy at 0 K in eV per atom: -0.10
Size of the total moment in μB per formula unit: 0.00
Crystal system: orthorhombic

---

Entry 4:
K6IO2 | PBE | optimized geometry

Structure (CIF):
```
data_K6IO2
_chemical_formula_sum 'K6 I1 O2'
_cell_length_a 5.392
_cell_length_b 5.392
_cell_length_c 10.831
_cell_angle_alpha 90.00
_cell_angle_beta 90.00
_cell_angle_gamma 90.00
_symmetry_space_group_name_H-M 'P 4/m m m'
_symmetry_Int_Tables_number 123
_symmetry_space_group_name_Hall '-P 4 2'
loop_
_atom_site_label
_atom_site_fract_x
_atom_site_fract_y
_atom_site_fract_z
K1 0.000 0.000 0.000
K2 0.000 0.000 0.500
K3 0.000 0.500 0.249
I1 0.500 0.500 0.000
O1 0.000 0.000 0.250
```

Output
Energy above the most stable polymorph in this dataset in eV per atom: 0.0000
Size of the total moment in μB per formula unit: 0.00
Crystal system: tetragonal
Formation energy from raw total energies in meV per atom: -1013

---

no.,Fermi-level density of states (states/eV/atom),DFT total energy (eV per atom)
1,1.543,-4.75
2,1.789,-2.73
3,1.198,-8.45
4,0.230,-3.02